No. 1
Computed, not measured: an optimized crystal structure of Pa2Zn16Rh at the PBE level of DFT.

a = 8.9873 Å, b = 8.9873 Å, c = 13.0318 Å
α = 90.00°, β = 90.00°, γ = 120.00°
Closest atoms and distances in Å follow each position.
Space group R3m (No. 160, hexagonal axes)
Inequivalent atoms, fractional coordinates:
Pa (0.0000, 0.0000, 0.0000) (multiplicity 3)  1 Rh 2.70
Pa (0.0000, 0.0000, 0.3324) (multiplicity 3)  19 Zn 3.14-3.43
Zn (0.0000, 0.0000, 0.5735) (multiplicity 3)  12 Zn 2.70-2.92, 1 Rh 2.86
Zn (0.0000, 0.2895, 0.6755) (multiplicity 18)  8 Zn 2.54-2.79
Zn (0.0043, 0.5021, 0.1737) (multiplicity 9)  9 Zn 2.54-2.70, 1 Rh 2.70
Zn (0.0132, 0.5066, 0.8228) (multiplicity 9)  8 Zn 2.55-2.79
Zn (0.1704, 0.3409, 0.8565) (multiplicity 9)  8 Zn 2.55-2.74, 1 Rh 2.78
Rh (0.0000, 0.0000, 0.7931) (multiplicity 3)  1 Pa 2.70, 13 Zn 2.70-3.02

- N(E_F) (states/eV/f.u.) = 11.14
- ΔH_f (0 K) (eV/atom) = -0.17

No. 2
Computed, not measured: an optimized crystal structure of Pa2ZnRh at the PBE level of DFT.

a = 3.6532 Å, b = 3.6532 Å, c = 6.2679 Å
α = 90.00°, β = 90.00°, γ = 90.00°
Closest atoms and distances in Å follow each position.
Space group P4/mmm (No. 123)
Inequivalent atoms, fractional coordinates:
Pa (0.0000, 0.0000, 0.2350) (multiplicity 2)  1 Pa 2.95, 4 Rh 2.97, 4 Zn 3.07
Zn (0.5000, 0.5000, 0.5000) (multiplicity 1)  8 Pa 3.07, 2 Rh 3.13
Rh (0.5000, 0.5000, 0.0000) (multiplicity 1)  8 Pa 2.97, 2 Zn 3.13

- N(E_F) (states/eV/f.u.) = 6.41
- ΔH_f (0 K) (eV/atom) = -0.26
- offset from the most stable computed form (kJ/mol of formula units) = 18

No. 3
Computed, not measured: an optimized crystal structure of PaZn2Rh at the PBE level of DFT.

a = 2.9104 Å, b = 2.9104 Å, c = 30.6516 Å
α = 90.00°, β = 90.00°, γ = 120.00°
Closest atoms and distances in Å follow each position.
Space group R-3m (No. 166, hexagonal axes)
Inequivalent atoms, fractional coordinates:
Pa (0.0000, 0.0000, 0.0000) (multiplicity 3)  6 Pa 2.91, 2 Zn 3.09
Zn (0.0000, 0.0000, 0.1010) (multiplicity 6)  3 Rh 2.62, 6 Zn 2.91
Rh (0.0000, 0.0000, 0.5000) (multiplicity 3)  6 Zn 2.62, 6 Rh 2.91

- N(E_F) (states/eV/f.u.) = 4.61
- ΔH_f (0 K) (eV/atom) = 0.17
- offset from the most stable computed form (kJ/mol of formula units) = 248

No. 4
Computed, not measured: an optimized crystal structure of Zr2PaRh3 at the PBE level of DFT.

a = 4.7109 Å, b = 13.9766 Å, c = 3.4342 Å
α = 90.00°, β = 90.00°, γ = 90.00°
Closest atoms and distances in Å follow each position.
Space group Pmmn (No. 59, origin choice 2)
Inequivalent atoms, fractional coordinates:
Zr (0.2500, 0.0755, 0.0020) (multiplicity 4)  8 Rh 2.88-2.99, 2 Zr 3.16
Pa (0.2500, 0.7500, 0.9967) (multiplicity 2)  8 Rh 2.81-2.92
Rh (0.2500, 0.2500, 0.5041) (multiplicity 2)  4 Pa 2.91-2.92, 4 Zr 2.98-2.99, 4 Rh 3.24
Rh (0.2500, 0.5909, 0.4978) (multiplicity 4)  2 Pa 2.81, 6 Zr 2.88-2.92

- N(E_F) (states/eV/f.u.) = 7.88
- ΔH_f (0 K) (eV/atom) = -0.69

Please write out number 3 again, unchanged.
Computed, not measured: an optimized crystal structure of PaZn2Rh at the PBE level of DFT.

a = 2.9104 Å, b = 2.9104 Å, c = 30.6516 Å
α = 90.00°, β = 90.00°, γ = 120.00°
Closest atoms and distances in Å follow each position.
Space group R-3m (No. 166, hexagonal axes)
Inequivalent atoms, fractional coordinates:
Pa (0.0000, 0.0000, 0.0000) (multiplicity 3)  6 Pa 2.91, 2 Zn 3.09
Zn (0.0000, 0.0000, 0.1010) (multiplicity 6)  3 Rh 2.62, 6 Zn 2.91
Rh (0.0000, 0.0000, 0.5000) (multiplicity 3)  6 Zn 2.62, 6 Rh 2.91

- N(E_F) (states/eV/f.u.) = 4.61
- ΔH_f (0 K) (eV/atom) = 0.17
- offset from the most stable computed form (kJ/mol of formula units) = 248

Which formula does entry 2 have? Pa2ZnRh

Look up the ΔH_f (0 K) of the third one. 0.17 eV/atom